A plane-wave DFT calculation with PBE was carried out for Ce2CdC after structural relaxation.

Geometry as extended XYZ:
```
4
Lattice="3.432 0.000 0.000 1.716 2.972 0.000 1.716 0.991 9.791" Properties=species:S:1:pos:R:3 pbc="T T T"
Ce 1.716 0.991 6.343
Ce 5.148 2.972 3.448
C 3.432 1.981 4.896
Cd 0.000 0.000 0.000
```

Summary:
Volume: 100 Å³/f.u.
Space group: R-3m, No. 166
Formation energy from the elements: -0.043 eV per atom